Below is a relaxed structure of CsZnCl3, with properties calculated at the GGA-PBE level.

Lattice parameters (Å, degrees): 5.538 7.916 7.940 102.17 90.03 90.01
Space group P-1 (No. 2)
Asymmetric unit:
Cs 0.225 0.193 0.308
Zn 0.499 0.665 0.163
Cl 0.275 0.672 0.400
Cl 0.276 0.099 0.832
Cl 0.285 0.599 0.900

Properties
Formation energy without anion corrections in eV/atom: -1.54
Mass density in g/cm³: 2.97
DOS at the Fermi energy in states/eV per atom: 0.00